Record 1
Here is MnAu2Br after structural relaxation from the Alexandria database. Energies are from PBE.

The space group is Pm (No. 6) and the conventional cell measures 3.6172, 3.3692 and 7.2025 Å, with angles of 90.00, 90.50 and 90.00 degrees. Symmetry generates all atoms from Mn at (0.0000, 0.0000, 0.0000), Au at (0.4977, 0.5000, 0.8274), Au at (0.9942, 0.0000, 0.6249) and Br at (0.0071, 0.5000, 0.2706).

The raw formation energy comes out at -0.0456 eV per atom. Its calculated total energy is -0.162 hartree per atom.

***

Record 2
Here is HoIn4Ni4 after structural relaxation from the Alexandria database. Energies are from PBE.

The space group is P4_2/n (No. 86, origin choice 2) and the conventional cell measures 8.3522, 8.3522 and 5.1737 Å, with angles of 90.00, 90.00 and 90.00 degrees. Symmetry generates all atoms from Ho at (0.2500, 0.2500, 0.2500), In at (0.0857, 0.6428, 0.1416) and Ni at (0.0435, 0.6064, 0.6403).

Its calculated total energy is -0.159 hartree per atom. The calculation puts the formation energy at -0.30 eV per formula unit.

***

no.,spin magnetization (μB per formula unit),DOS(E_F) (states/eV per atom)
1,4.1,0.302
2,0.0,0.593